KSn4Pd6, optimized geometry, DFT PBE-GGA; E = -53.6 eV per cell
1.0
4.2601 0.0000 0.0000
0.0000 7.7523 0.0000
0.0000 -3.8761 6.7137
K Sn Pd
1 4 6
direct
0.0000 0.0000 0.0000
0.5000 0.8064 0.6128
0.5000 0.3872 0.1936
0.5000 0.8064 0.1936
0.0000 0.3333 0.6667
0.0000 0.5368 0.0736
0.5000 0.5874 0.7937
0.0000 0.5368 0.4632
0.0000 0.9264 0.4632
0.5000 0.2063 0.7937
0.5000 0.2063 0.4126